(1)
The following is a DFT calculation (PBE-GGA) of a geometry-optimized Mn3ReW structure.

abc: 4.3374 4.3374 4.3374
angles: 90.00 90.00 90.00
Last column: nearest neighbours and their distance in Å.
Sites, in units of the cell vectors:
Mn: 0.0000 0.0000 0.5000  2 W 2.17
Mn: 0.0000 0.5000 0.0000  2 W 2.17
W: 0.0000 0.0000 0.0000  6 Mn 2.17
Re: 0.5000 0.5000 0.5000  12 Mn 3.07
Mn: 0.5000 0.0000 0.0000  2 W 2.17

Excess energy over the best structure of this formula in the dataset in eV per atom: 0.349
SG: Pm-3m (221)
Uncorrected energy in Ha/atom: -0.311

(2)
The following is a DFT calculation (PBE-GGA) of a geometry-optimized ErTmNi structure.

abc: 3.3470 6.7777 6.5265
angles: 104.98 104.82 90.07
Last column: nearest neighbours and their distance in Å.
Sites, in units of the cell vectors:
Tm: 0.3072 0.9860 0.3809  4 Ni 2.85-2.86
Er: 0.3068 0.4859 0.3812  4 Ni 2.88-2.89, 1 Er 3.20
Er: 0.5711 0.6181 0.9077  4 Ni 2.88-2.89, 1 Er 3.20
Ni: 0.9392 0.2985 0.6454  4 Tm 2.85-2.86, 4 Er 2.88-2.89
Ni: 0.9385 0.8052 0.6435  4 Tm 2.85-2.86, 4 Er 2.88-2.89
Tm: 0.5706 0.1180 0.9078  4 Ni 2.85-2.86

Excess energy over the best structure of this formula in the dataset in eV per atom: 0.038
SG: P-1 (2)
Uncorrected energy in Ha/atom: -0.192

(3)
The following is a DFT calculation (PBE-GGA) of a geometry-optimized CoReSeN2 structure.

abc: 3.7892 3.7892 5.5027
angles: 90.00 90.00 90.00
Last column: nearest neighbours and their distance in Å.
Sites, in units of the cell vectors:
N: 0.5000 0.0000 0.0000  2 Re 1.89
N: 0.0000 0.5000 0.0000  2 Re 1.89
Re: 0.0000 0.0000 0.0000  4 N 1.89
Co: 0.5000 0.5000 0.5000  4 Se 2.68
Se: 0.0000 0.0000 0.5000  4 Co 2.68, 2 Re 2.75

Excess energy over the best structure of this formula in the dataset in eV per atom: 0.000
SG: P4/mmm (123)
Raw formation energy in kJ per mole of atoms: 67.4
Uncorrected energy in Ha/atom: -0.266